Entry P
First-principles (PBE) data for a geometry-optimized SrWCl structure, as listed in the Alexandria database.

a = 5.4122 Å, b = 5.4122 Å, c = 5.4122 Å
α = 60.00°, β = 60.00°, γ = 60.00°
Element x y z (fractional)
Sr (0.0000, 0.0000, 0.0000)
W (0.2500, 0.2500, 0.2500)
Cl (0.7500, 0.7500, 0.7500)

Calculated values
Space group = No. 216

---

Entry Q
First-principles (PBE) data for a geometry-optimized SrWCl structure, as listed in the Alexandria database.

a = 3.2679 Å, b = 3.2679 Å, c = 7.0818 Å
α = 90.00°, β = 90.00°, γ = 120.00°
Element x y z (fractional)
Sr (0.0000, 0.0000, 0.0000)
W (0.6667, 0.3333, 0.3618)
Cl (0.3333, 0.6667, 0.6429)

Calculated values
Space group = No. 156

---

Entry R
First-principles (PBE) data for a geometry-optimized SrWCl structure, as listed in the Alexandria database.

a = 8.0721 Å, b = 8.0721 Å, c = 8.0721 Å
α = 157.88°, β = 157.88°, γ = 31.49°
Element x y z (fractional)
Sr (0.0000, 0.0000, 0.0000)
W (0.6679, 0.6679, 0.0000)
Cl (0.3805, 0.3805, 0.0000)

Calculated values
Space group = No. 107

---

Bottom line: entry R, by a margin of 85 meV per atom.

---

Entry P
First-principles (PBE) data for a geometry-optimized SrWCl structure, as listed in the Alexandria database.

a = 5.0601 Å, b = 5.0601 Å, c = 5.0601 Å
α = 60.00°, β = 60.00°, γ = 60.00°
Element x y z (fractional)
Sr (0.0000, 0.0000, 0.0000)
W (0.5000, 0.5000, 0.5000)
Cl (0.2500, 0.2500, 0.2500)

Calculated values
Space group = No. 216

---

Entry Q
First-principles (PBE) data for a geometry-optimized SrWCl structure, as listed in the Alexandria database.

a = 5.0252 Å, b = 5.0252 Å, c = 3.6575 Å
α = 90.00°, β = 90.00°, γ = 120.00°
Element x y z (fractional)
Sr (0.0000, 0.0000, 0.0000)
W (0.6667, 0.3333, 0.5000)
Cl (0.3333, 0.6667, 0.5000)

Calculated values
Space group = No. 187

---

Bottom line: entry Q, by a margin of 187 meV per atom.